[1]
Tb2NdCd after structural relaxation. Source: the Alexandria database, functional PBE-GGA.

Unit cell a=3.6157 b=3.6157 c=32.6966 alpha=90.00 beta=90.00 gamma=120.00
Space group R-3m (No. 166, hexagonal axes)
One atom of each set of equivalent atoms:
Tb (0.0000, 0.0000, 0.2433) x6
Nd (0.0000, 0.0000, 0.0000) x3
Cd (0.0000, 0.0000, 0.5000) x3

- Formation energy: -0.32 eV/f.u.

---

[2]
CsRb2AgPb after structural relaxation. Source: the Alexandria database, functional PBE-GGA.

Unit cell a=7.251 b=7.251 c=5.565 alpha=90.00 beta=90.00 gamma=90.00
Space group P4/mmm (No. 123)
One atom of each set of equivalent atoms:
Cs (0.000, 0.000, 0.000) x1
Rb (0.000, 0.500, 0.500) x2
Ag (0.500, 0.500, 0.000) x1
Pb (0.500, 0.500, 0.500) x1

- Formation energy: 0.48 eV/f.u.

---

[3]
Pr2NdSm3Ho6 after structural relaxation. Source: the Alexandria database, functional PBE-GGA.

Unit cell a=6.243 b=10.810 c=11.812 alpha=90.00 beta=100.11 gamma=90.00
Space group C2/m (No. 12)
One atom of each set of equivalent atoms:
Pr (0.000, 0.167, 0.000) x4
Nd (0.000, 0.500, 0.000) x2
Sm (0.000, 0.000, 0.500) x2
Sm (0.000, 0.333, 0.500) x4
Ho (0.249, 0.167, 0.748) x8
Ho (0.249, 0.500, 0.748) x4

- Formation energy: 0.17 eV/f.u.

---

[4]
Li3LaPd after structural relaxation. Source: the Alexandria database, functional PBE-GGA.

Unit cell a=4.803 b=4.803 c=4.803 alpha=90.00 beta=90.00 gamma=90.00
Space group Pm-3m (No. 221)
One atom of each set of equivalent atoms:
Li (0.000, 0.000, 0.500) x3
La (0.500, 0.500, 0.500) x1
Pd (0.000, 0.000, 0.000) x1

- Formation energy: -0.12 eV/f.u.

---

[5]
Ba2PrScO5 after structural relaxation. Source: the Alexandria database, functional PBE-GGA.

Unit cell a=3.749 b=14.266 c=12.287 alpha=90.00 beta=90.00 gamma=90.00
Space group Cmc2_1 (No. 36)
One atom of each set of equivalent atoms:
Ba (0.000, 0.087, 0.000) x4
Ba (0.000, 0.153, 0.642) x4
Pr (0.000, 0.213, 0.359) x4
Sc (0.000, 0.474, 0.770) x4
O (0.000, 0.042, 0.340) x4
O (0.000, 0.273, 0.989) x4
O (0.000, 0.323, 0.743) x4
O (0.000, 0.376, 0.321) x4
O (0.000, 0.490, 0.115) x4

- Raw formation energy: -2.997 eV/atom

---

[6]
Nd4HgPd2 after structural relaxation. Source: the Alexandria database, functional PBE-GGA.

Unit cell a=4.8820 b=4.8820 c=29.8196 alpha=90.00 beta=90.00 gamma=120.00
Space group R-3m (No. 166, hexagonal axes)
One atom of each set of equivalent atoms:
Nd (0.0000, 0.0000, 0.1162) x6
Nd (0.0000, 0.0000, 0.2969) x6
Hg (0.0000, 0.0000, 0.5000) x3
Pd (0.0000, 0.0000, 0.4006) x6

- Formation energy: -3.10 eV/f.u.

---

[7]
TcNiI2 after structural relaxation. Source: the Alexandria database, functional PBE-GGA.

Unit cell a=6.750 b=6.750 c=6.750 alpha=90.00 beta=90.00 gamma=90.00
Space group Fm-3m (No. 225)
One atom of each set of equivalent atoms:
Tc (0.000, 0.000, 0.000) x4
Ni (0.000, 0.000, 0.500) x4
I (0.250, 0.250, 0.250) x8

- Raw formation energy: 0.946 eV/atom

---

[8]
KCoNi2 after structural relaxation. Source: the Alexandria database, functional PBE-GGA.

Unit cell a=2.612 b=5.268 c=9.859 alpha=90.00 beta=90.00 gamma=90.00
Space group Immm (No. 71)
One atom of each set of equivalent atoms:
K (0.000, 0.000, 0.000) x2
Co (0.000, 0.000, 0.500) x2
Ni (0.000, 0.500, 0.200) x4

- Formation energy: 3.36 eV/f.u.

---

[9]
CaSiIr3 after structural relaxation. Source: the Alexandria database, functional PBE-GGA.

Unit cell a=4.743 b=4.743 c=4.743 alpha=90.00 beta=90.00 gamma=90.00
Space group Pm-3m (No. 221)
One atom of each set of equivalent atoms:
Ca (0.000, 0.000, 0.000) x1
Si (0.500, 0.500, 0.500) x1
Ir (0.000, 0.000, 0.500) x3

- Raw formation energy: 2.399 eV/atom

---

[10]
Rb2TbCeO4 after structural relaxation. Source: the Alexandria database, functional PBE-GGA.

Unit cell a=6.245 b=3.604 c=6.904 alpha=90.00 beta=107.51 gamma=90.00
Space group P2/m (No. 10)
One atom of each set of equivalent atoms:
Rb (0.000, 0.000, 0.000) x1
Rb (0.500, 0.500, 0.000) x1
Tb (0.000, 0.500, 0.500) x1
Ce (0.500, 0.000, 0.500) x1
O (0.219, 0.000, 0.675) x2
O (0.268, 0.500, 0.323) x2

- Raw formation energy: -2.603 eV/atom

---

[11]
Pa2NbRh after structural relaxation. Source: the Alexandria database, functional PBE-GGA.

Unit cell a=4.884 b=4.884 c=3.583 alpha=90.00 beta=90.00 gamma=90.00
Space group P4/mmm (No. 123)
One atom of each set of equivalent atoms:
Pa (0.000, 0.500, 0.000) x2
Nb (0.000, 0.000, 0.500) x1
Rh (0.500, 0.500, 0.500) x1

- Formation energy: -0.49 eV/f.u.

---

[12]
NaTbTl2I6 after structural relaxation. Source: the Alexandria database, functional PBE-GGA.

Unit cell a=8.4845 b=8.4845 c=21.5309 alpha=90.00 beta=90.00 gamma=120.00
Space group R3 (No. 146, hexagonal axes)
One atom of each set of equivalent atoms:
Na (0.0000, 0.0000, 0.0000) x3
Tb (0.0000, 0.0000, 0.5051) x3
Tl (0.0000, 0.0000, 0.2042) x3
Tl (0.0000, 0.0000, 0.7104) x3
I (0.0233, 0.6171, 0.2576) x9
I (0.0729, 0.3406, 0.0933) x9

- Raw formation energy: -1.070 eV/atom

---

[13]
CaLa3Cu after structural relaxation. Source: the Alexandria database, functional PBE-GGA.

Unit cell a=5.804 b=5.804 c=5.804 alpha=90.00 beta=90.00 gamma=90.00
Space group Pm-3m (No. 221)
One atom of each set of equivalent atoms:
Ca (0.000, 0.000, 0.000) x1
La (0.000, 0.000, 0.500) x3
Cu (0.500, 0.500, 0.500) x1

- Formation energy: 5.29 eV/f.u.